An optimized crystal structure of Li2Pb5Cl12, computed with PBE.

Unit cell a=7.573 b=8.912 c=9.188 alpha=105.20 beta=90.00 gamma=115.14
Positions (direct):
Li1 0.777 0.000 0.000
Li2 0.223 0.000 0.000
Pb1 0.317 0.634 0.660
Pb2 0.319 0.638 0.156
Pb3 0.000 0.000 0.500
Pb4 0.681 0.362 0.844
Pb5 0.683 0.366 0.340
Cl1 0.997 0.993 0.191
Cl2 0.093 0.666 0.912
Cl3 0.574 0.666 0.912
Cl4 0.100 0.700 0.428
Cl5 0.600 0.700 0.428
Cl6 0.498 0.997 0.800
Cl7 0.502 0.003 0.200
Cl8 0.900 0.300 0.572
Cl9 0.400 0.300 0.572
Cl10 0.907 0.334 0.088
Cl11 0.426 0.334 0.088
Cl12 0.003 0.007 0.809

Its symmetry is C2/m, No. 12. The formation energy (no corrections) comes out at -1.2795 eV per atom. Its volume is 28.3 Å³/atom.